DFT (PBE) results for crystalline LiZnCrHg2 at its relaxed geometry.

The structure in POSCAR format:
```
LiZnCrHg2
1.0
5.3177 0.0000 0.0000
0.0000 5.1312 0.0000
0.0000 0.0000 5.3177
Cr Zn Hg Li
1 1 2 1
Cartesian
0.0000 0.0000 0.0000 Cr
2.6589 2.5656 2.6589 Zn
0.0000 0.0000 2.6589 Hg
2.6589 0.0000 0.0000 Hg
0.0000 2.5656 0.0000 Li
```

**Energy relative to the elements**: 613 meV/atom
**ρ**: 6.01 g/cm³
**E**: -2.070 eV/atom
**Magnetization**: 4.7 μB per formula unit



DFT (PBE) results for crystalline Lu2CrHg at its relaxed geometry.

The structure in POSCAR format:
```
Lu2CrHg
1.0
-3.1065 -0.9483 -1.1413
1.0272 -3.2852 -0.0663
-2.3537 -0.8799 7.1375
Cr Lu Hg
1 2 1
Cartesian
-1.0397 -2.1168 -0.6038 Cr
-1.8152 -0.6786 5.5045 Lu
-0.5385 -0.2013 1.6330 Lu
-2.2165 -2.5567 2.9650 Hg
```

**Energy relative to the elements**: -87 meV/atom
**ρ**: 11.16 g/cm³
**E**: -4.829 eV/atom
**Magnetization**: 2.9 μB per formula unit



DFT (PBE) results for crystalline MgCr2Hg at its relaxed geometry.

The structure in POSCAR format:
```
MgCr2Hg
1.0
9.3619 -0.0118 -0.0069
8.8574 3.0316 -0.0069
8.8574 1.4681 2.6524
Cr Hg Mg
2 1 1
Cartesian
27.0484 4.4832 2.6358 Cr
13.5667 2.2487 1.3220 Cr
6.7692 1.1220 0.6596 Hg
20.3075 3.3659 1.9789 Mg
```

**Energy relative to the elements**: 668 meV/atom
**ρ**: 7.21 g/cm³
**E**: -4.618 eV/atom
**Magnetization**: 7.2 μB per formula unit



DFT (PBE) results for crystalline MgCr2Hg at its relaxed geometry.

The structure in POSCAR format:
```
MgCr2Hg
1.0
-1.7111 -0.0677 -2.2417
-0.5951 -4.3284 0.5850
-4.1389 0.9920 3.1292
Cr Hg Mg
2 1 1
Cartesian
-3.8870 0.9316 2.9387 Cr
-2.3214 0.5564 1.7550 Cr
-2.1878 -1.9501 -0.0461 Hg
-4.2573 -1.4541 1.5185 Mg
```

**Energy relative to the elements**: 612 meV/atom
**ρ**: 8.31 g/cm³
**E**: -4.673 eV/atom
**Magnetization**: 0.2 μB per formula unit



DFT (PBE) results for crystalline MgCr2Hg at its relaxed geometry.

The structure in POSCAR format:
```
MgCr2Hg
1.0
-0.6663 0.5623 5.2576
1.2337 -2.0119 4.7784
3.2847 2.0670 1.9198
Cr Hg Mg
2 1 1
Cartesian
0.8043 -1.3003 10.1738 Cr
1.6892 0.1595 5.8401 Cr
2.8891 0.4631 8.9668 Hg
0.9630 0.1544 2.9889 Mg
```

**Energy relative to the elements**: 532 meV/atom
**ρ**: 8.43 g/cm³
**E**: -4.753 eV/atom
**Magnetization**: 0.0 μB per formula unit



DFT (PBE) results for crystalline MgCrHg at its relaxed geometry.

The structure in POSCAR format:
```
MgCrHg
1.0
-1.6807 4.3906 0.2512
-1.4046 -3.2400 3.1136
2.3447 0.7900 1.8797
Cr Hg Mg
1 1 1
Cartesian
0.1127 0.0380 0.0904 Cr
-0.8385 2.0998 1.8068 Hg
-0.0149 -0.1972 3.3474 Mg
```

**Energy relative to the elements**: 306 meV/atom
**ρ**: 7.71 g/cm³
**E**: -3.533 eV/atom
**Magnetization**: 4.2 μB per formula unit